No. 1
A geometry-optimized ReIr3 structure. Source: Alexandria via LeMat-Bulk, functional GGA-PBE.

Computed properties:
Density in Mg/m³: 21.1
Polymorph energy (0 for the lowest one) in kJ/mol of atoms: 43.8
DFT total energy in eV/cell: -37.822
Formation energy in eV per atom: 0.302

abc: 3.337 3.337 5.404
angles: 90.00 90.00 90.00
Space group P4/mmm (No. 123)
Symmetry-distinct sites (fractional):
Re 0.000 0.000 0.000 (multiplicity 1)
Ir 0.000 0.000 0.500 (multiplicity 1)
Ir 0.500 0.500 0.251 (multiplicity 2)


No. 2
A geometry-optimized LiAl3Ag2 structure. Source: Alexandria via LeMat-Bulk, functional GGA-PBE.

Computed properties:
Density in Mg/m³: 5.1
Polymorph energy (0 for the lowest one) in kJ/mol of atoms: 0.0
DFT total energy in eV/cell: -77.329
Formation energy in eV per atom: -0.081

abc: 9.122 12.029 4.033
angles: 90.00 116.06 90.00
Space group C2/c (No. 15)
Symmetry-distinct sites (fractional):
Li 0.000 0.078 0.250 (multiplicity 4)
Al 0.243 0.418 0.992 (multiplicity 8)
Al 0.250 0.250 0.500 (multiplicity 4)
Ag 0.000 0.230 0.750 (multiplicity 4)
Ag 0.000 0.408 0.250 (multiplicity 4)


No. 3
A geometry-optimized Tb2AgBiO6 structure. Source: Alexandria via LeMat-Bulk, functional GGA-PBE.

Computed properties:
Formation energy (no corrections) in kJ per mole of atoms: -198.33
Density in Mg/m³: 7.8
DFT total energy in eV/cell: -198.891

abc: 5.8472 5.8472 15.6985
angles: 90.00 90.00 120.00
Space group R3 (No. 146, hexagonal axes)
Symmetry-distinct sites (fractional):
Tb 0.0000 0.0000 0.0000 (multiplicity 3)
Tb 0.0000 0.0000 0.4901 (multiplicity 3)
Ag 0.0000 0.0000 0.2482 (multiplicity 3)
Bi 0.0000 0.0000 0.7952 (multiplicity 3)
O 0.0161 0.3356 0.3999 (multiplicity 9)
O 0.0757 0.7020 0.5564 (multiplicity 9)